Run one
{"formula": "Ba2ZnO3", "functional": "PBE", "state": "optimized geometry", "lattice_angstrom": [[-4.666, 0.695, 5.470], [-5.447, 4.537, 1.387], [3.317, -4.576, -4.498]], "species": ["Ba", "Ba", "O", "O", "O", "Zn"], "frac_coords": [[0.647, 0.647, 0.000], [0.353, 0.353, 0.000], [0.500, 0.000, 0.500], [0.849, 0.849, 0.000], [0.151, 0.151, 0.000], [0.000, 0.000, 0.000]], "spacegroup": "Immm, No. 71"}

=====

Run two
{"formula": "Ba2ZnO3", "functional": "PBE", "state": "optimized geometry", "lattice_angstrom": [[-5.838, 0.000, -0.005], [-2.919, 5.716, -0.002], [0.787, 0.000, -12.594]], "species": ["Ba", "Ba", "Ba", "Ba", "Ba", "Ba", "Ba", "Ba", "O", "O", "O", "O", "O", "O", "O", "O", "O", "O", "O", "O", "Zn", "Zn", "Zn", "Zn"], "frac_coords": [[0.027, 0.411, 0.347], [0.863, 0.792, 0.075], [0.345, 0.792, 0.425], [0.561, 0.411, 0.153], [0.439, 0.589, 0.847], [0.973, 0.589, 0.653], [0.655, 0.208, 0.575], [0.137, 0.208, 0.925], [0.004, 0.991, 0.750], [0.855, 0.656, 0.867], [0.489, 0.656, 0.633], [0.673, 0.198, 0.966], [0.129, 0.198, 0.534], [0.596, 0.808, 0.250], [0.871, 0.802, 0.466], [0.404, 0.192, 0.750], [0.996, 0.009, 0.250], [0.511, 0.344, 0.367], [0.327, 0.802, 0.034], [0.145, 0.344, 0.133], [0.726, 0.005, 0.337], [0.269, 0.005, 0.163], [0.731, 0.995, 0.837], [0.274, 0.995, 0.663]], "spacegroup": "C2/c, No. 15"}

=====

run two is the most stable structure; the next one sits 105 meV per atom above it.

=====

Run one
{"formula": "BaZr2O4", "functional": "PBE", "state": "optimized geometry", "lattice_angstrom": [[5.928, 0.000, 0.000], [-2.964, 5.134, 0.000], [0.000, 0.000, 8.413]], "species": ["Ba", "Ba", "O", "O", "O", "O", "O", "O", "O", "O", "Zr", "Zr", "Zr", "Zr"], "frac_coords": [[0.000, 0.000, 0.250], [0.000, 0.000, 0.750], [0.000, 0.315, 0.500], [0.315, 0.000, 0.500], [0.685, 0.685, 0.500], [0.315, 0.315, 0.000], [0.000, 0.685, 0.000], [0.685, 0.000, 0.000], [0.667, 0.333, 0.750], [0.333, 0.667, 0.250], [0.333, 0.667, 0.489], [0.667, 0.333, 0.511], [0.667, 0.333, 0.989], [0.333, 0.667, 0.011]], "spacegroup": "P6_322, No. 182"}

=====

Run two
{"formula": "BaZr2O4", "functional": "PBE", "state": "optimized geometry", "lattice_angstrom": [[-2.155, 6.487, 0.252], [-3.235, -4.525, -3.981], [-0.527, -0.442, 6.805]], "species": ["Ba", "Ba", "O", "O", "O", "O", "O", "O", "O", "O", "Zr", "Zr", "Zr", "Zr"], "frac_coords": [[0.000, 0.000, 0.000], [0.750, 0.500, 0.250], [0.148, 0.704, 0.852], [0.602, 0.204, 0.806], [0.148, 0.296, 0.852], [0.148, 0.296, 0.444], [0.602, 0.204, 0.398], [0.602, 0.796, 0.398], [0.556, 0.704, 0.852], [0.194, 0.796, 0.398], [0.375, 0.750, 0.625], [0.375, 0.250, 0.625], [0.875, 0.250, 0.625], [0.375, 0.750, 0.125]], "spacegroup": "Fd-3m, No. 227"}

=====

run two is the most stable structure; the next one sits 83 meV per atom above it.

=====

Run one
{"formula": "BaOsPd", "functional": "PBE", "state": "optimized geometry", "lattice_angstrom": [[-3.384, -3.459, -0.539], [-0.777, -3.223, 3.566], [-4.112, 0.191, 2.600]], "species": ["Ba", "Pd", "Os"], "frac_coords": [[0.000, 0.000, 0.000], [0.750, 0.750, 0.750], [0.250, 0.250, 0.250]], "spacegroup": "F-43m, No. 216"}

=====

Run two
{"formula": "BaOsPd", "functional": "PBE", "state": "optimized geometry", "lattice_angstrom": [[1.675, -1.687, 4.170], [-1.487, 1.924, 4.138], [-2.885, -2.501, 2.909]], "species": ["Os", "Ba", "Pd"], "frac_coords": [[0.000, 0.000, 0.000], [0.250, 0.250, 0.250], [0.750, 0.750, 0.750]], "spacegroup": "F-43m, No. 216"}

=====

run two is the most stable structure; the next one sits 649 meV per atom above it.

=====

Run one
{"formula": "Ba2SnOsS6", "functional": "PBE", "state": "optimized geometry", "lattice_angstrom": [[1.129, 3.271, 5.870], [-1.647, -2.908, 5.938], [5.647, -2.579, -3.853]], "species": ["Sn", "S", "S", "S", "S", "S", "S", "Os", "Ba", "Ba"], "frac_coords": [[0.000, 0.000, 0.500], [0.697, 0.207, 0.181], [0.737, 0.737, 0.316], [0.793, 0.303, 0.819], [0.207, 0.697, 0.181], [0.263, 0.263, 0.684], [0.303, 0.793, 0.819], [0.500, 0.500, 0.000], [0.246, 0.246, 0.245], [0.754, 0.754, 0.755]], "spacegroup": "C2/m, No. 12"}

=====

Run two
{"formula": "Ba2SnOsS6", "functional": "PBE", "state": "optimized geometry", "lattice_angstrom": [[7.009, 0.000, 0.000], [0.000, 7.009, 0.000], [3.505, 3.505, 4.956]], "species": ["Sn", "S", "S", "S", "S", "S", "S", "Ba", "Ba", "Os"], "frac_coords": [[0.500, 0.500, 0.000], [0.239, 0.239, 0.000], [0.761, 0.239, 0.000], [0.761, 0.761, 0.000], [0.239, 0.239, 0.521], [0.761, 0.761, 0.479], [0.239, 0.761, 0.000], [0.750, 0.250, 0.500], [0.250, 0.750, 0.500], [0.000, 0.000, 0.000]], "spacegroup": "Fm-3m, No. 225"}

=====

run one is the most stable structure; the next one sits 71 meV per atom above it.

=====

Run one
{"formula": "Ba2YOsSe6", "functional": "PBE", "state": "optimized geometry", "lattice_angstrom": [[6.784, 1.288, -2.581], [2.224, 1.877, 6.773], [-3.203, -6.539, -1.149]], "species": ["Os", "Se", "Se", "Se", "Se", "Se", "Se", "Y", "Ba", "Ba"], "frac_coords": [[0.000, 0.000, 0.000], [0.753, 0.771, 0.524], [0.762, 0.762, 0.000], [0.771, 0.247, 0.018], [0.229, 0.753, 0.982], [0.238, 0.238, 0.000], [0.247, 0.229, 0.476], [0.500, 0.500, 0.000], [0.250, 0.750, 0.500], [0.750, 0.250, 0.500]], "spacegroup": "I4/m, No. 87"}

=====

Run two
{"formula": "Ba2YOsSe6", "functional": "PBE", "state": "optimized geometry", "lattice_angstrom": [[7.234, 0.000, 0.000], [3.559, 6.349, 0.000], [3.492, 1.935, 6.121]], "species": ["Ba", "Ba", "Se", "Se", "Se", "Se", "Se", "Se", "Y", "Os"], "frac_coords": [[0.252, 0.744, 0.754], [0.748, 0.256, 0.246], [0.302, 0.724, 0.205], [0.725, 0.838, 0.689], [0.698, 0.276, 0.795], [0.790, 0.731, 0.184], [0.275, 0.162, 0.311], [0.210, 0.269, 0.816], [0.000, 0.500, 0.500], [0.500, 0.000, 0.000]], "spacegroup": "P-1, No. 2"}

=====

run two is the most stable structure; the next one sits 27 meV per atom above it.

=====

Run one
{"formula": "Ba2YOsSe6", "functional": "PBE", "state": "optimized geometry", "lattice_angstrom": [[0.000, 5.212, 5.212], [5.212, 0.000, 5.212], [5.212, 5.212, 0.000]], "species": ["Y", "Se", "Se", "Se", "Se", "Se", "Se", "Ba", "Ba", "Os"], "frac_coords": [[0.500, 0.500, 0.500], [0.238, 0.762, 0.762], [0.238, 0.762, 0.238], [0.238, 0.238, 0.762], [0.762, 0.762, 0.238], [0.762, 0.238, 0.238], [0.762, 0.238, 0.762], [0.250, 0.250, 0.250], [0.750, 0.750, 0.750], [0.000, 0.000, 0.000]], "spacegroup": "Fm-3m, No. 225"}

=====

Run two
{"formula": "Ba2YOsSe6", "functional": "PBE", "state": "optimized geometry", "lattice_angstrom": [[3.444, 1.546, -6.223], [-3.671, 0.456, -6.268], [-0.855, 5.362, 5.341]], "species": ["Ba", "Ba", "Se", "Se", "Se", "Se", "Se", "Se", "Y", "Os"], "frac_coords": [[0.746, 0.746, 0.242], [0.254, 0.254, 0.758], [0.765, 0.765, 0.687], [0.197, 0.715, 0.190], [0.235, 0.235, 0.313], [0.285, 0.803, 0.810], [0.715, 0.197, 0.190], [0.803, 0.285, 0.810], [0.500, 0.500, 0.500], [0.000, 0.000, 0.000]], "spacegroup": "C2/m, No. 12"}

=====

run two is the most stable structure; the next one sits 31 meV per atom above it.

=====

Run one
{"formula": "Ba2Pd", "functional": "PBE", "state": "optimized geometry", "lattice_angstrom": [[0.000, 4.816, 4.816], [4.816, 0.000, 4.816], [4.816, 4.816, 0.000]], "species": ["Ba", "Ba", "Ba", "Ba", "Pd", "Pd"], "frac_coords": [[0.125, 0.625, 0.625], [0.625, 0.625, 0.125], [0.625, 0.125, 0.625], [0.625, 0.625, 0.625], [0.000, 0.000, 0.000], [0.250, 0.250, 0.250]], "spacegroup": "Fd-3m, No. 227"}

=====

Run two
{"formula": "Ba2Pd", "functional": "PBE", "state": "optimized geometry", "lattice_angstrom": [[-0.020, 0.604, -4.570], [0.366, -4.244, 1.763], [-14.414, -1.288, -0.106]], "species": ["Ba", "Ba", "Ba", "Ba", "Pd", "Pd"], "frac_coords": [[0.000, 0.000, 0.256], [0.000, 0.000, 0.756], [0.333, 0.667, 0.994], [0.667, 0.333, 0.494], [0.667, 0.333, 0.875], [0.333, 0.667, 0.375]], "spacegroup": "P6_3mc, No. 186"}

=====

run two is the most stable structure; the next one sits 1018 meV per atom above it.

=====

Run one
{"formula": "Ba2Pd", "functional": "PBE", "state": "optimized geometry", "lattice_angstrom": [[0.000, 6.810, 6.810], [6.810, 0.000, 6.810], [6.810, 6.810, 0.000]], "species": ["Ba", "Ba", "Ba", "Ba", "Pd", "Pd"], "frac_coords": [[0.125, 0.125, 0.125], [0.125, 0.625, 0.125], [0.625, 0.125, 0.125], [0.125, 0.125, 0.625], [0.250, 0.250, 0.250], [0.000, 0.000, 0.000]], "spacegroup": "Fd-3m, No. 227"}

=====

Run two
{"formula": "Ba2Pd", "functional": "PBE", "state": "optimized geometry", "lattice_angstrom": [[8.361, 0.000, 0.000], [0.000, 7.506, 0.000], [0.000, 0.000, 7.615]], "species": ["Ba", "Ba", "Ba", "Ba", "Ba", "Ba", "Ba", "Ba", "Pd", "Pd", "Pd", "Pd"], "frac_coords": [[0.250, 0.430, 0.048], [0.109, 0.901, 0.798], [0.891, 0.099, 0.298], [0.609, 0.099, 0.798], [0.391, 0.901, 0.298], [0.750, 0.570, 0.048], [0.750, 0.570, 0.548], [0.250, 0.430, 0.548], [0.049, 0.710, 0.298], [0.951, 0.290, 0.798], [0.451, 0.710, 0.798], [0.549, 0.290, 0.298]], "spacegroup": "Pbcm, No. 57"}

=====

run two is the most stable structure; the next one sits 654 meV per atom above it.

=====

Run one
{"formula": "BaPdPt", "functional": "PBE", "state": "optimized geometry", "lattice_angstrom": [[0.000, 3.427, 3.427], [3.427, 0.000, 3.427], [3.427, 3.427, 0.000]], "species": ["Ba", "Pt", "Pd"], "frac_coords": [[0.250, 0.250, 0.250], [0.750, 0.750, 0.750], [0.000, 0.000, 0.000]], "spacegroup": "F-43m, No. 216"}

=====

Run two
{"formula": "BaPdPt", "functional": "PBE", "state": "optimized geometry", "lattice_angstrom": [[0.000, 3.491, 3.491], [3.491, 0.000, 3.491], [3.491, 3.491, 0.000]], "species": ["Pd", "Pt", "Ba"], "frac_coords": [[0.250, 0.250, 0.250], [0.750, 0.750, 0.750], [0.000, 0.000, 0.000]], "spacegroup": "F-43m, No. 216"}

=====

run one is the most stable structure; the next one sits 422 meV per atom above it.

=====

Run one
{"formula": "BaTcPd", "functional": "PBE", "state": "optimized geometry", "lattice_angstrom": [[2.976, -3.250, 2.073], [0.426, -0.167, 4.848], [-1.850, -3.761, 2.479]], "species": ["Pd", "Ba", "Tc"], "frac_coords": [[0.250, 0.250, 0.250], [0.000, 0.000, 0.000], [0.750, 0.750, 0.750]], "spacegroup": "F-43m, No. 216"}

=====

Run two
{"formula": "BaTcPd", "functional": "PBE", "state": "optimized geometry", "lattice_angstrom": [[0.864, 3.590, 3.278], [-3.593, 1.478, 3.048], [0.255, -1.062, 4.815]], "species": ["Pd", "Tc", "Ba"], "frac_coords": [[0.000, 0.000, 0.000], [0.750, 0.750, 0.750], [0.250, 0.250, 0.250]], "spacegroup": "F-43m, No. 216"}

=====

run two is the most stable structure; the next one sits 521 meV per atom above it.

=====

Run one
{"formula": "BaTmPd", "functional": "PBE", "state": "optimized geometry", "lattice_angstrom": [[0.000, 3.583, 3.583], [3.583, 0.000, 3.583], [3.583, 3.583, 0.000]], "species": ["Ba", "Tm", "Pd"], "frac_coords": [[0.000, 0.000, 0.000], [0.750, 0.750, 0.750], [0.250, 0.250, 0.250]], "spacegroup": "F-43m, No. 216"}

=====

Run two
{"formula": "BaTmPd", "functional": "PBE", "state": "optimized geometry", "lattice_angstrom": [[2.781, -4.318, 0.576], [-2.253, -4.310, 1.748], [-0.749, -4.000, -3.187]], "species": ["Pd", "Ba", "Tm"], "frac_coords": [[0.000, 0.000, 0.000], [0.250, 0.250, 0.250], [0.750, 0.750, 0.750]], "spacegroup": "F-43m, No. 216"}

=====

run two is the most stable structure; the next one sits 770 meV per atom above it.

=====

Run one
{"formula": "Ba2Pm", "functional": "PBE", "state": "optimized geometry", "lattice_angstrom": [[-1.220, -1.596, 11.193], [1.619, -10.325, 4.481], [9.122, -2.018, 6.483]], "species": ["Ba", "Ba", "Ba", "Ba", "Pm", "Pm"], "frac_coords": [[0.375, 0.875, 0.375], [0.875, 0.375, 0.375], [0.375, 0.375, 0.375], [0.375, 0.375, 0.875], [0.250, 0.250, 0.250], [0.500, 0.500, 0.500]], "spacegroup": "Fd-3m, No. 227"}

=====

Run two
{"formula": "Ba2Pm", "functional": "PBE", "state": "optimized geometry", "lattice_angstrom": [[0.529, -2.563, 6.982], [-5.882, 0.379, 4.566], [-3.599, -6.226, 1.969]], "species": ["Ba", "Ba", "Ba", "Ba", "Pm", "Pm"], "frac_coords": [[0.125, 0.625, 0.625], [0.625, 0.625, 0.125], [0.625, 0.125, 0.625], [0.625, 0.625, 0.625], [0.250, 0.250, 0.250], [0.000, 0.000, 0.000]], "spacegroup": "Fd-3m, No. 227"}

=====

run two is the most stable structure; the next one sits 972 meV per atom above it.